The following is a DFT calculation (PBE with a Hubbard U) of an optimized crystal structure of BaZnNi4O8.

Computed properties:
Total magnetic moment   11.97 μB/f.u.
Crystal system   trigonal
SG   P-31m (162)
Raw total energy   -4.7260 eV/atom
V   177 Å³/cell

abc: 5.282 5.282 7.332
angles: 90.00 90.00 120.00
Fractional coordinates of all 14 atoms:
1 Ba 0.000 0.000 0.000
2 Zn 0.000 0.000 0.500
3 Ni 0.333 0.667 0.252
4 Ni 0.333 0.667 0.748
5 Ni 0.667 0.333 0.252
6 Ni 0.667 0.333 0.748
7 O 0.000 0.320 0.323
8 O 0.000 0.680 0.677
9 O 0.320 0.000 0.323
10 O 0.320 0.320 0.677
11 O 0.333 0.667 0.000
12 O 0.667 0.333 0.000
13 O 0.680 0.000 0.677
14 O 0.680 0.680 0.323